1.
Below is an optimized crystal structure of Sr3In2Pd4, with properties calculated at the PBE level.

abc: 5.997 5.997 9.104
angles: 97.90 97.90 45.46
Atoms (fractional coordinates):
Sr 0.000 0.000 0.000
Sr 0.375 0.375 0.616
Sr 0.625 0.625 0.384
In 0.321 0.321 0.220
In 0.679 0.679 0.780
Pd 0.086 0.086 0.636
Pd 0.268 0.268 0.914
Pd 0.732 0.732 0.086
Pd 0.914 0.914 0.364

Symmetry: C2/m, No. 12

=====

2.
Below is an optimized crystal structure of Sr4In2Pd, with properties calculated at the PBE level.

abc: 9.294 9.294 9.294
angles: 143.35 143.35 52.80
Atoms (fractional coordinates):
Sr 0.000 0.500 0.500
Sr 0.183 0.183 0.000
Sr 0.500 0.000 0.500
Sr 0.817 0.817 0.000
In 0.387 0.387 0.000
In 0.613 0.613 0.000
Pd 0.000 0.000 0.000

Symmetry: I4/mmm, No. 139

=====

3.
Below is an optimized crystal structure of SrIn9Pd2, with properties calculated at the PBE level.

abc: 9.439 9.439 9.439
angles: 101.13 101.13 127.88
Atoms (fractional coordinates):
Sr 0.375 0.625 0.750
Sr 0.625 0.375 0.250
In 0.125 0.558 0.322
In 0.125 0.803 0.567
In 0.125 0.875 0.250
In 0.197 0.264 0.322
In 0.197 0.875 0.933
In 0.264 0.197 0.822
In 0.264 0.442 0.067
In 0.442 0.264 0.567
In 0.442 0.875 0.178
In 0.558 0.125 0.822
In 0.558 0.736 0.433
In 0.736 0.558 0.933
In 0.736 0.803 0.178
In 0.803 0.125 0.067
In 0.803 0.736 0.678
In 0.875 0.125 0.750
In 0.875 0.197 0.433
In 0.875 0.442 0.678
Pd 0.000 0.000 0.000
Pd 0.000 0.000 0.500
Pd 0.000 0.500 0.000
Pd 0.500 0.000 0.500

Symmetry: I4_1/amd, No. 141

=====

4.
Below is an optimized crystal structure of Sr2TlInPd, with properties calculated at the PBE level.

abc: 5.853 5.853 5.159
angles: 90.00 90.00 90.00
Atoms (fractional coordinates):
Sr 0.000 0.500 0.000
Sr 0.500 0.000 0.000
Tl 0.000 0.000 0.500
In 0.500 0.500 0.500
Pd 0.500 0.500 0.000

Symmetry: P4/mmm, No. 123

=====

5.
Below is an optimized crystal structure of Sr2TlInPd6, with properties calculated at the PBE level.

abc: 7.191 7.191 7.191
angles: 60.00 60.00 60.00
Atoms (fractional coordinates):
Sr 0.250 0.250 0.250
Sr 0.750 0.750 0.750
Tl 0.000 0.000 0.000
In 0.500 0.500 0.500
Pd 0.253 0.253 0.747
Pd 0.253 0.747 0.253
Pd 0.253 0.747 0.747
Pd 0.747 0.253 0.253
Pd 0.747 0.253 0.747
Pd 0.747 0.747 0.253

Symmetry: Fm-3m, No. 225

=====

6.
Below is an optimized crystal structure of SrTlIn2Pd, with properties calculated at the PBE level.

abc: 5.225 5.225 5.714
angles: 90.00 90.00 90.00
Atoms (fractional coordinates):
Sr 0.000 0.000 0.000
Tl 0.500 0.500 0.000
In 0.000 0.500 0.500
In 0.500 0.000 0.500
Pd 0.000 0.000 0.500

Symmetry: P4/mmm, No. 123

=====

7.
Below is an optimized crystal structure of SrTlInPd, with properties calculated at the PBE level.

abc: 5.234 5.234 5.234
angles: 60.00 60.00 60.00
Atoms (fractional coordinates):
Sr 0.000 0.000 0.000
Tl 0.750 0.750 0.750
In 0.500 0.500 0.500
Pd 0.250 0.250 0.250

Symmetry: F-43m, No. 216

=====

8.
Below is an optimized crystal structure of Sr2TlIn2Pd5, with properties calculated at the PBE level.

abc: 10.932 10.932 3.673
angles: 90.00 90.00 90.00
Atoms (fractional coordinates):
Sr 0.172 0.328 0.000
Sr 0.328 0.828 0.000
Sr 0.672 0.172 0.000
Sr 0.828 0.672 0.000
Tl 0.000 0.000 0.000
Tl 0.500 0.500 0.000
In 0.127 0.627 0.000
In 0.373 0.127 0.000
In 0.627 0.873 0.000
In 0.873 0.373 0.000
Pd 0.000 0.500 0.500
Pd 0.059 0.804 0.500
Pd 0.196 0.059 0.500
Pd 0.304 0.559 0.500
Pd 0.441 0.304 0.500
Pd 0.500 0.000 0.500
Pd 0.559 0.696 0.500
Pd 0.696 0.441 0.500
Pd 0.804 0.941 0.500
Pd 0.941 0.196 0.500

Symmetry: P4/mbm, No. 127

=====

9.
Below is an optimized crystal structure of Sr2Tl3InPd4, with properties calculated at the PBE level.

abc: 4.764 4.764 11.033
angles: 90.00 90.00 90.00
Atoms (fractional coordinates):
Sr 0.000 0.500 0.234
Sr 0.500 0.000 0.766
Tl 0.000 0.500 0.875
Tl 0.500 0.000 0.125
Tl 0.500 0.500 0.500
In 0.000 0.000 0.500
Pd 0.000 0.000 0.000
Pd 0.000 0.500 0.630
Pd 0.500 0.000 0.370
Pd 0.500 0.500 0.000

Symmetry: P-4m2, No. 115

=====

10.
Below is an optimized crystal structure of SrInPdW2, with properties calculated at the PBE level.

abc: 4.977 4.977 4.956
angles: 90.00 90.00 90.00
Atoms (fractional coordinates):
Sr 0.000 0.000 0.000
In 0.500 0.500 0.500
Pd 0.000 0.000 0.500
W 0.000 0.500 0.000
W 0.500 0.000 0.000

Symmetry: P4/mmm, No. 123

=====

11.
Below is an optimized crystal structure of Sr3Zn2In2Pd4, with properties calculated at the PBE level.

abc: 4.517 4.517 15.618
angles: 90.00 90.00 120.00
Atoms (fractional coordinates):
Sr 0.000 0.000 0.000
Sr 0.000 0.000 0.271
Sr 0.000 0.000 0.729
Zn 0.333 0.667 0.136
Zn 0.667 0.333 0.864
In 0.333 0.667 0.566
In 0.667 0.333 0.434
Pd 0.333 0.667 0.388
Pd 0.333 0.667 0.868
Pd 0.667 0.333 0.132
Pd 0.667 0.333 0.612

Symmetry: P-3m1, No. 164

=====

12.
Below is an optimized crystal structure of Sr2ZnIn2Pd5, with properties calculated at the PBE level.

abc: 10.969 10.969 3.454
angles: 90.00 90.00 90.00
Atoms (fractional coordinates):
Sr 0.170 0.330 0.000
Sr 0.330 0.830 0.000
Sr 0.670 0.170 0.000
Sr 0.830 0.670 0.000
Zn 0.000 0.000 0.000
Zn 0.500 0.500 0.000
In 0.133 0.633 0.000
In 0.367 0.133 0.000
In 0.633 0.867 0.000
In 0.867 0.367 0.000
Pd 0.000 0.500 0.500
Pd 0.058 0.818 0.500
Pd 0.182 0.058 0.500
Pd 0.318 0.558 0.500
Pd 0.442 0.318 0.500
Pd 0.500 0.000 0.500
Pd 0.558 0.682 0.500
Pd 0.682 0.442 0.500
Pd 0.818 0.942 0.500
Pd 0.942 0.182 0.500

Symmetry: P4/mbm, No. 127

=====

Number 1: energy of formation -5.86 eV/f.u.. Number 2: energy of formation -1.89 eV/f.u.. Number 3: energy of formation -2.78 eV/f.u.. Number 4: energy of formation -1.92 eV/f.u.. Number 5: energy of formation -0.43 eV/f.u.. Number 6: energy of formation -1.52 eV/f.u.. Number 7: energy of formation -1.30 eV/f.u.. Number 8: energy of formation -4.72 eV/f.u.. Number 9: energy of formation -4.42 eV/f.u.. Number 10: energy of formation 14.02 eV/f.u.. Number 11: energy of formation -5.74 eV/f.u.. Number 12: energy of formation -4.83 eV/f.u..